## Nd2InFeO6 (PBE+U)

Data for a relaxed structure of Nd2InFeO6.

Output
As for the total magnetization: 0.30 μB/atom. The calculation puts the final energy at -7.099 eV/atom. For the mass density, the calculation gives 7016 kg/m3. Its space-group type is C2/m (12).

a = 5.651 Å, b = 5.573 Å, c = 5.872 Å
α = 118.33°, β = 121.30°, γ = 90.00°
Each line ends with the local moment (μB).
Sites, in units of the cell vectors:
O (0.636, 0.248, 0.496)  0.03
O (0.197, 0.174, 0.865)  -0.04
O (0.803, 0.826, 0.135)  -0.04
O (0.803, 0.309, 0.135)  -0.04
O (0.197, 0.691, 0.865)  -0.04
O (0.364, 0.752, 0.504)  0.03
Fe (0.500, 0.000, 0.000)  3.01
In (0.000, 0.500, 0.000)  0.02
Nd (0.233, 0.256, 0.512)  0.01
Nd (0.767, 0.744, 0.488)  0.01